# CoMoHF2 GGA+U optimized geometry
data_CoMoHF2
_cell_length_a 4.499
_cell_length_b 4.499
_cell_length_c 3.088
_cell_angle_alpha 90.00
_cell_angle_beta 90.00
_cell_angle_gamma 90.00
_space_group_name_H-M_alt 'P 4/m m m'
_space_group_IT_number 123
_space_group_name_Hall '-P 4 2'
loop_
_atom_site_label
_atom_site_type_symbol
_atom_site_fract_x
_atom_site_fract_y
_atom_site_fract_z
Co1 Co 0.000 0.000 0.000
Mo1 Mo 0.500 0.500 0.000
H1 H 0.000 0.000 0.500
F1 F 0.000 0.500 0.500
# Total DFT energy (no corrections): -19.84 eV/f.u.
# N(E_F): 3.88 states/eV per cell